A relaxed NpAlSi2 crystal, computed with PBE.

Formation energy (no corrections)   -62 meV/atom
DFT total energy   -27.8 eV per cell

Cell lengths 3.3953, 3.3953, 6.1305 Å; angles 90.00, 90.00, 90.00 degrees
With the nearest neighbours (Å) after each atom.
Space group P4/mmm (No. 123)
Unique sites:
Np1 0.0000 0.0000 0.0000 (multiplicity 1)  8 Si 3.02, 2 Al 3.07
Al1 0.0000 0.0000 0.5000 (multiplicity 1)  8 Si 2.70
Si1 0.5000 0.5000 0.2997 (multiplicity 2)  1 Si 2.46, 4 Al 2.70